# 1
# meta-GGA SCAN Ba3InH, PBEsol geometry
# * E_tot: -31.479 eV per atom
data_Ba3InH
_chemical_formula_sum 'Ba3 In1 H1'
_cell_length_a 5.5102
_cell_length_b 5.5102
_cell_length_c 5.5102
_cell_angle_alpha 90.00
_cell_angle_beta 90.00
_cell_angle_gamma 90.00
_symmetry_space_group_name_H-M 'P m -3 m'
_symmetry_Int_Tables_number 221
_symmetry_space_group_name_Hall '-P 4 2 3'
loop_
_atom_site_label
_atom_site_type_symbol
_atom_site_fract_x
_atom_site_fract_y
_atom_site_fract_z
Ba1 Ba 0.0000 0.0000 0.5000
In1 In 0.5000 0.5000 0.5000
H1 H 0.0000 0.0000 0.0000

# 2
# meta-GGA SCAN Ba3In2H12O12, PBEsol geometry
# * E_tot: -12.060 eV per atom
data_Ba3In2H12O12
_chemical_formula_sum 'Ba24 In16 H96 O96'
_cell_length_a 14.0422
_cell_length_b 14.0422
_cell_length_c 14.0422
_cell_angle_alpha 90.00
_cell_angle_beta 90.00
_cell_angle_gamma 90.00
_symmetry_space_group_name_H-M 'I a -3 d'
_symmetry_Int_Tables_number 230
_symmetry_space_group_name_Hall '-I 4bd 2c 3'
loop_
_atom_site_label
_atom_site_type_symbol
_atom_site_fract_x
_atom_site_fract_y
_atom_site_fract_z
Ba1 Ba 0.0000 0.2500 0.1250
In1 In 0.0000 0.0000 0.0000
H1 H 0.0431 0.1554 0.9028
O1 O 0.0297 0.0533 0.6425

Question: Among the records above, which one has the lowest E_tot?
Answer: Ba3InH

Repeat the second record exactly.
# meta-GGA SCAN Ba3In2H12O12, PBEsol geometry
# * E_tot: -12.060 eV per atom
data_Ba3In2H12O12
_chemical_formula_sum 'Ba24 In16 H96 O96'
_cell_length_a 14.0422
_cell_length_b 14.0422
_cell_length_c 14.0422
_cell_angle_alpha 90.00
_cell_angle_beta 90.00
_cell_angle_gamma 90.00
_symmetry_space_group_name_H-M 'I a -3 d'
_symmetry_Int_Tables_number 230
_symmetry_space_group_name_Hall '-I 4bd 2c 3'
loop_
_atom_site_label
_atom_site_type_symbol
_atom_site_fract_x
_atom_site_fract_y
_atom_site_fract_z
Ba1 Ba 0.0000 0.2500 0.1250
In1 In 0.0000 0.0000 0.0000
H1 H 0.0431 0.1554 0.9028
O1 O 0.0297 0.0533 0.6425

Question: Which formula does entry 2 have?
Answer: Ba3In2H12O12

Question: The highest E_tot belongs to which entry?
Answer: Ba3In2H12O12